Density functional theory data (PBE) for an optimized crystal structure of Zn2CuAg.

The value obtained for the raw total energy is -2.435 eV per atom. The volume comes out at 59 Å³/cell.

The space group is P4/mmm (No. 123) and the conventional cell measures 3.055, 3.055 and 6.275 Å, with angles of 90.00, 90.00 and 90.00 degrees. The inequivalent atoms are Zn at (0.000, 0.000, 0.223), Cu at (0.500, 0.500, 0.000) and Ag at (0.500, 0.500, 0.500).